## Tb2PrSn (PBE-GGA)

Data for an optimized crystal structure of Tb2PrSn.

Properties
- Space group: R-3m
- Polymorph energy (0 for the lowest one): 394.8 meV/atom
- Formation energy from the elements: -0.03 eV/atom

Cell: 3.4972 3.4972 35.9237 Å, 90.00 90.00 120.00°
Element x y z (fractional)
Tb 0.0000 0.0000 0.0959
Tb 0.0000 0.0000 0.9041
Tb 0.3333 0.6667 0.5707
Tb 0.3333 0.6667 0.7626
Tb 0.6667 0.3333 0.2374
Tb 0.6667 0.3333 0.4293
Pr 0.0000 0.0000 0.0000
Pr 0.3333 0.6667 0.6667
Pr 0.6667 0.3333 0.3333
Sn 0.0000 0.0000 0.5000
Sn 0.3333 0.6667 0.1667
Sn 0.6667 0.3333 0.8333